Below is crystalline MnTe2ClO at its relaxed geometry, with properties calculated at the PBE+U level.

## Properties
DFT total energy	-17.83	eV per cell
spin magnetization	4.633	μB/f.u.

Unit cell a=5.4444 b=5.4444 c=4.7507 alpha=90.00 beta=90.00 gamma=90.00
Space group P4/mmm (No. 123)
Inequivalent atoms, fractional coordinates:
Mn: 0.0000 0.0000 0.0000 (multiplicity 1)
Te: 0.0000 0.5000 0.0000 (multiplicity 2)
Cl: 0.0000 0.0000 0.5000 (multiplicity 1)
O: 0.5000 0.5000 0.5000 (multiplicity 1)